Compound: K2Pu2Te5
Source: Alexandria via LeMat-Bulk
Functional: PBE
Structure: relaxed

Properties
Size of the total moment in μB per formula unit: 8.5
Energy in eV per atom: -6.11
Formation energy (no corrections) in eV/atom: -0.9360

Cell: 9.697 9.697 8.449 Å, 90.00 90.00 51.54°
Atoms (fractional coordinates):
K1 0.204 0.204 0.000
K2 0.296 0.296 0.500
K3 0.704 0.704 0.500
K4 0.796 0.796 0.000
Pu1 0.157 0.843 0.657
Pu2 0.343 0.657 0.157
Pu3 0.657 0.343 0.843
Pu4 0.843 0.157 0.343
Te1 0.000 0.000 0.000
Te2 0.031 0.738 0.354
Te3 0.238 0.531 0.854
Te4 0.262 0.969 0.354
Te5 0.469 0.762 0.854
Te6 0.500 0.500 0.500
Te7 0.531 0.238 0.146
Te8 0.738 0.031 0.646
Te9 0.762 0.469 0.146
Te10 0.969 0.262 0.646